A plane-wave DFT calculation with PBE was carried out for a relaxed Ac6Cu2N crystal.

Calculated values
Raw formation energy: -0.290 eV per atom
Energy: -0.358 Ry per atom
Total moment: 0.00 μB per atom

Cell: 6.991 7.696 10.770 Å, 90.00 89.77 90.00°
Fractional coordinates of all 18 atoms:
1 Cu 0.935 0.395 0.252
2 Ac 0.664 0.199 0.063
3 Ac 0.685 0.177 0.438
4 Ac 0.315 0.823 0.562
5 Cu 0.435 0.105 0.752
6 Ac 0.185 0.323 0.938
7 N 0.500 0.500 0.000
8 Ac 0.641 0.466 0.762
9 Ac 0.164 0.301 0.563
10 Ac 0.359 0.534 0.238
11 Ac 0.141 0.034 0.262
12 Ac 0.859 0.966 0.738
13 Cu 0.065 0.605 0.748
14 Ac 0.815 0.677 0.062
15 Ac 0.336 0.801 0.937
16 Cu 0.565 0.895 0.248
17 N 0.000 0.000 0.500
18 Ac 0.836 0.699 0.437